1.
First-principles (PBE) data for a geometry-optimized BaPtSe structure, as listed in Alexandria.

Geometry as CIF:
```
data_BaPtSe
_chemical_formula_sum 'Ba2 Pt2 Se2'
_symmetry_space_group_name_H-M 'P 1'
_symmetry_Int_Tables_number 1
_cell_length_a 4.917
_cell_length_b 6.060
_cell_length_c 6.586
_cell_angle_alpha 89.35
_cell_angle_beta 80.05
_cell_angle_gamma 71.03
loop_
_symmetry_equiv_pos_as_xyz
'x,y,z'
loop_
_atom_site_label
_atom_site_type_symbol
_atom_site_fract_x
_atom_site_fract_y
_atom_site_fract_z
Ba1 Ba 0.000 0.000 0.000
Ba2 Ba 0.347 0.434 0.556
Pt1 Pt 0.489 0.826 0.284
Pt2 Pt 0.695 0.824 0.657
Se1 Se 0.008 0.061 0.496
Se2 Se 0.685 0.582 0.962
```

## Properties
Crystal system: triclinic
Calculated volume (A^3/atom): 30.43
DFT total energy (eV per atom): -4.878
Raw formation energy (meV per atom): -1062


2.
First-principles (PBE) data for a geometry-optimized Sc2BCl structure, as listed in Alexandria.

Geometry as CIF:
```
data_Sc2BCl
_chemical_formula_sum 'Sc8 B4 Cl4'
_symmetry_space_group_name_H-M 'I -4 2 d'
_symmetry_Int_Tables_number 122
_symmetry_space_group_name_Hall 'I -4 2bw'
_cell_length_a 5.611
_cell_length_b 5.611
_cell_length_c 11.209
_cell_angle_alpha 90.00
_cell_angle_beta 90.00
_cell_angle_gamma 90.00
loop_
_atom_site_label
_atom_site_type_symbol
_atom_site_fract_x
_atom_site_fract_y
_atom_site_fract_z
Sc1 Sc 0.188 0.250 0.125
B1 B 0.000 0.000 0.000
Cl1 Cl 0.000 0.000 0.500
```

## Properties
Crystal system: tetragonal
Calculated volume (A^3/atom): 22.06
DFT total energy (eV per atom): -5.776
Excess energy over the best structure of this formula in the dataset (eV/atom): 0.342
Raw formation energy (meV per atom): -479


3.
First-principles (PBE) data for a geometry-optimized RbNa2MoS4 structure, as listed in Alexandria.

Geometry as CIF:
```
data_RbNa2MoS4
_chemical_formula_sum 'Rb4 Na8 Mo4 S16'
_symmetry_space_group_name_H-M 'F m m 2'
_symmetry_Int_Tables_number 42
_symmetry_space_group_name_Hall 'F 2 -2'
_cell_length_a 10.239
_cell_length_b 10.273
_cell_length_c 8.695
_cell_angle_alpha 90.00
_cell_angle_beta 90.00
_cell_angle_gamma 90.00
loop_
_atom_site_label
_atom_site_type_symbol
_atom_site_fract_x
_atom_site_fract_y
_atom_site_fract_z
Rb1 Rb 0.000 0.000 0.000
Na1 Na 0.250 0.250 0.251
Mo1 Mo 0.000 0.000 0.500
S1 S 0.000 0.180 0.647
S2 S 0.181 0.000 0.352
```

## Properties
Crystal system: orthorhombic
Calculated volume (A^3/atom): 28.58
DFT total energy (eV per atom): -4.774
Raw formation energy (meV per atom): -906


4.
First-principles (PBE) data for a geometry-optimized La2Ga6Ru structure, as listed in Alexandria.

Geometry as CIF:
```
data_La2Ga6Ru
_chemical_formula_sum 'La2 Ga6 Ru1'
_symmetry_space_group_name_H-M 'P -3 m 1'
_symmetry_Int_Tables_number 164
_symmetry_space_group_name_Hall '-P 3 2"'
_cell_length_a 6.1409
_cell_length_b 6.1409
_cell_length_c 5.6377
_cell_angle_alpha 90.00
_cell_angle_beta 90.00
_cell_angle_gamma 120.00
loop_
_atom_site_label
_atom_site_type_symbol
_atom_site_fract_x
_atom_site_fract_y
_atom_site_fract_z
La1 La 0.3333 0.6667 0.3070
Ga1 Ga 0.1701 0.3401 0.8157
Ru1 Ru 0.0000 0.0000 0.5000
```

## Properties
Crystal system: trigonal
Calculated volume (A^3/atom): 20.46
DFT total energy (eV per atom): -4.699
Excess energy over the best structure of this formula in the dataset (eV/atom): 0.052
Energy of formation (kcal/mol of atoms): -12.8


5.
First-principles (PBE) data for a geometry-optimized Cs2PrB2O6 structure, as listed in Alexandria.

Geometry as CIF:
```
data_Cs2PrB2O6
_chemical_formula_sum 'Cs6 Pr3 B6 O18'
_symmetry_space_group_name_H-M 'R -3 m'
_symmetry_Int_Tables_number 166
_symmetry_space_group_name_Hall '-R 3 2"'
_cell_length_a 5.7765
_cell_length_b 5.7765
_cell_length_c 21.1268
_cell_angle_alpha 90.00
_cell_angle_beta 90.00
_cell_angle_gamma 120.00
loop_
_atom_site_label
_atom_site_type_symbol
_atom_site_fract_x
_atom_site_fract_y
_atom_site_fract_z
Cs1 Cs 0.0000 0.0000 0.2118
Pr1 Pr 0.0000 0.0000 0.0000
B1 B 0.0000 0.0000 0.3994
O1 O 0.0569 0.5285 0.2669
```

## Properties
Crystal system: trigonal
Calculated volume (A^3/atom): 18.50
DFT total energy (eV per atom): -6.890
Raw formation energy (meV per atom): -2382


6.
First-principles (PBE) data for a geometry-optimized AcLa6Er5 structure, as listed in Alexandria.

Geometry as CIF:
```
data_AcLa6Er5
_chemical_formula_sum 'Ac2 La12 Er10'
_symmetry_space_group_name_H-M 'I m m m'
_symmetry_Int_Tables_number 71
_symmetry_space_group_name_Hall '-I 2 2'
_cell_length_a 5.254
_cell_length_b 10.128
_cell_length_c 15.724
_cell_angle_alpha 90.00
_cell_angle_beta 90.00
_cell_angle_gamma 90.00
loop_
_atom_site_label
_atom_site_type_symbol
_atom_site_fract_x
_atom_site_fract_y
_atom_site_fract_z
Ac1 Ac 0.000 0.000 0.000
La1 La 0.000 0.241 0.500
La2 La 0.000 0.255 0.168
Er1 Er 0.000 0.000 0.331
Er2 Er 0.000 0.500 0.000
Er3 Er 0.000 0.500 0.332
```

## Properties
Crystal system: orthorhombic
Calculated volume (A^3/atom): 34.86
DFT total energy (eV per atom): -4.675
Energy of formation (kcal/mol of atoms): 0.7


7.
First-principles (PBE) data for a geometry-optimized Pm4HoSn2 structure, as listed in Alexandria.

Geometry as CIF:
```
data_Pm4HoSn2
_chemical_formula_sum 'Pm12 Ho3 Sn6'
_symmetry_space_group_name_H-M 'R -3 m'
_symmetry_Int_Tables_number 166
_symmetry_space_group_name_Hall '-R 3 2"'
_cell_length_a 5.4581
_cell_length_b 5.4581
_cell_length_c 27.9787
_cell_angle_alpha 90.00
_cell_angle_beta 90.00
_cell_angle_gamma 120.00
loop_
_atom_site_label
_atom_site_type_symbol
_atom_site_fract_x
_atom_site_fract_y
_atom_site_fract_z
Pm1 Pm 0.0000 0.0000 0.1246
Pm2 Pm 0.0000 0.0000 0.2799
Ho1 Ho 0.0000 0.0000 0.5000
Sn1 Sn 0.0000 0.0000 0.3930
```

## Properties
Crystal system: trigonal
Calculated volume (A^3/atom): 34.37
DFT total energy (eV per atom): -4.765
Energy of formation (kcal/mol of atoms): -5.8